Version 1
## Cs3Te4As2 (PBE)

Data for a relaxed structure of Cs3Te4As2.

a b c (Å): 9.928 9.928 9.136
angles (deg): 98.43 98.43 82.01
Sites, in units of the cell vectors:
Cs1 0.107 0.893 0.750
Cs2 0.227 0.485 0.374
Cs3 0.485 0.227 0.874
Cs4 0.515 0.773 0.126
Cs5 0.773 0.515 0.626
Cs6 0.893 0.107 0.250
Te1 0.119 0.244 0.621
Te2 0.185 0.562 0.965
Te3 0.244 0.119 0.121
Te4 0.438 0.815 0.535
Te5 0.562 0.185 0.465
Te6 0.756 0.881 0.879
Te7 0.815 0.438 0.035
Te8 0.881 0.756 0.379
As1 0.077 0.329 0.904
As2 0.329 0.077 0.404
As3 0.671 0.923 0.596
As4 0.923 0.671 0.096

## Properties
Magnetic moment: 0.00 μB per formula unit
Calculated volume: 874.71 Å³/cell
Density of states at the Fermi level: 5.38 states/eV/cell

=====

Version 2
## Cs3Te4As2 (PBE)

Data for a relaxed structure of Cs3Te4As2.

a b c (Å): 10.306 10.306 9.600
angles (deg): 90.08 90.08 59.16
Sites, in units of the cell vectors:
Cs1 0.030 0.970 0.750
Cs2 0.231 0.500 0.416
Cs3 0.500 0.231 0.916
Cs4 0.500 0.769 0.084
Cs5 0.769 0.500 0.584
Cs6 0.970 0.030 0.250
Te1 0.197 0.226 0.678
Te2 0.200 0.645 0.026
Te3 0.226 0.197 0.178
Te4 0.355 0.800 0.474
Te5 0.645 0.200 0.526
Te6 0.774 0.803 0.822
Te7 0.800 0.355 0.974
Te8 0.803 0.774 0.322
As1 0.049 0.359 0.970
As2 0.359 0.049 0.470
As3 0.641 0.951 0.530
As4 0.951 0.641 0.030

## Properties
Magnetic moment: 0.00 μB per formula unit
Calculated volume: 875.53 Å³/cell
Density of states at the Fermi level: 6.98 states/eV/cell

=====

Energy ordering: version 2 at the bottom, the next structure 43 meV/atom above.

=====

Version 1
## Cs2Te3As (PBE)

Data for a relaxed structure of Cs2Te3As.

a b c (Å): 8.756 8.756 18.655
angles (deg): 90.00 90.00 123.27
Sites, in units of the cell vectors:
Cs1 0.071 0.929 0.839
Cs2 0.147 0.853 0.429
Cs3 0.353 0.647 0.929
Cs4 0.429 0.571 0.339
Cs5 0.571 0.429 0.661
Cs6 0.647 0.353 0.071
Cs7 0.853 0.147 0.571
Cs8 0.929 0.071 0.161
Te1 0.053 0.447 0.750
Te2 0.093 0.907 0.633
Te3 0.146 0.854 0.049
Te4 0.354 0.646 0.549
Te5 0.407 0.593 0.133
Te6 0.447 0.053 0.250
Te7 0.553 0.947 0.750
Te8 0.593 0.407 0.867
Te9 0.646 0.354 0.451
Te10 0.854 0.146 0.951
Te11 0.907 0.093 0.367
Te12 0.947 0.553 0.250
As1 0.243 0.757 0.163
As2 0.257 0.743 0.663
As3 0.743 0.257 0.337
As4 0.757 0.243 0.837

## Properties
Magnetic moment: 0.00 μB per formula unit
Calculated volume: 1195.85 Å³/cell
Density of states at the Fermi level: 5.82 states/eV/cell

=====

Version 2
## Cs2Te3As (PBE)

Data for a relaxed structure of Cs2Te3As.

a b c (Å): 11.020 9.590 11.725
angles (deg): 90.00 119.21 90.00
Sites, in units of the cell vectors:
Cs1 0.236 0.105 0.033
Cs2 0.236 0.395 0.533
Cs3 0.239 0.592 0.193
Cs4 0.239 0.908 0.693
Cs5 0.761 0.092 0.307
Cs6 0.761 0.408 0.807
Cs7 0.764 0.605 0.467
Cs8 0.764 0.895 0.967
Te1 0.025 0.723 0.828
Te2 0.025 0.777 0.328
Te3 0.192 0.007 0.348
Te4 0.192 0.493 0.848
Te5 0.499 0.719 0.611
Te6 0.499 0.781 0.111
Te7 0.501 0.219 0.889
Te8 0.501 0.281 0.389
Te9 0.808 0.507 0.152
Te10 0.808 0.993 0.652
Te11 0.975 0.223 0.672
Te12 0.975 0.277 0.172
As1 0.454 0.602 0.928
As2 0.454 0.898 0.428
As3 0.546 0.102 0.572
As4 0.546 0.398 0.072

## Properties
Magnetic moment: 0.00 μB per formula unit
Calculated volume: 1081.47 Å³/cell

=====

Energy ordering: version 2 at the bottom, the next structure 57 meV/atom above.

=====

Version 1
## CsTl2As2 (PBE)

Data for a relaxed structure of CsTl2As2.

a b c (Å): 9.322 9.322 3.457
angles (deg): 90.00 90.00 90.00
Sites, in units of the cell vectors:
Cs1 0.000 0.000 0.000
Cs2 0.500 0.500 0.000
Tl1 0.129 0.371 0.000
Tl2 0.371 0.871 0.000
Tl3 0.629 0.129 0.000
Tl4 0.871 0.629 0.000
As1 0.163 0.663 0.500
As2 0.337 0.163 0.500
As3 0.663 0.837 0.500
As4 0.837 0.337 0.500

## Properties
Magnetic moment: 0.00 μB per formula unit
Calculated volume: 300.37 Å³/cell
Density of states at the Fermi level: 6.84 states/eV/cell

=====

Version 2
## CsTl2As2 (PBE)

Data for a relaxed structure of CsTl2As2.

a b c (Å): 9.279 9.279 4.248
angles (deg): 90.00 90.00 90.00
Sites, in units of the cell vectors:
Cs1 0.000 0.000 0.000
Cs2 0.500 0.500 0.000
Tl1 0.148 0.352 0.500
Tl2 0.352 0.852 0.500
Tl3 0.648 0.148 0.500
Tl4 0.852 0.648 0.500
As1 0.092 0.592 0.000
As2 0.408 0.092 0.000
As3 0.592 0.908 0.000
As4 0.908 0.408 0.000

## Properties
Magnetic moment: 0.00 μB per formula unit
Calculated volume: 365.76 Å³/cell
Density of states at the Fermi level: 3.74 states/eV/cell

=====

Version 3
## CsTl2As2 (PBE)

Data for a relaxed structure of CsTl2As2.

a b c (Å): 6.761 6.761 6.761
angles (deg): 133.95 133.95 67.17
Sites, in units of the cell vectors:
Cs1 0.000 0.000 0.000
Tl1 0.364 0.364 0.000
Tl2 0.636 0.636 0.000
As1 0.250 0.750 0.500
As2 0.750 0.250 0.500

## Properties
Magnetic moment: 0.00 μB per formula unit
Calculated volume: 157.60 Å³/cell
Density of states at the Fermi level: 2.45 states/eV/cell

=====

Version 4
## CsTl2As2 (PBE)

Data for a relaxed structure of CsTl2As2.

a b c (Å): 7.034 7.034 7.034
angles (deg): 135.98 135.98 64.01
Sites, in units of the cell vectors:
Cs1 0.000 0.000 0.000
Tl1 0.250 0.750 0.500
Tl2 0.750 0.250 0.500
As1 0.398 0.398 0.000
As2 0.602 0.602 0.000

## Properties
Magnetic moment: 0.00 μB per formula unit
Calculated volume: 165.83 Å³/cell
Density of states at the Fermi level: 2.58 states/eV/cell

=====

Energy ordering: version 4 at the bottom, the next structure 66 meV/atom above.

=====

Version 1
## CsTl2As (PBE)

Data for a relaxed structure of CsTl2As.

a b c (Å): 5.762 5.762 5.762
angles (deg): 60.00 60.00 60.00
Sites, in units of the cell vectors:
Cs1 0.000 0.000 0.000
Tl1 0.250 0.250 0.250
Tl2 0.750 0.750 0.750
As1 0.500 0.500 0.500

## Properties
Magnetic moment: 0.00 μB per formula unit
Calculated volume: 135.29 Å³/cell
Density of states at the Fermi level: 0.94 states/eV/cell

=====

Version 2
## CsTl2As (PBE)

Data for a relaxed structure of CsTl2As.

a b c (Å): 7.497 7.497 7.497
angles (deg): 103.94 103.94 121.22
Sites, in units of the cell vectors:
Cs1 0.000 0.000 0.000
Cs2 0.750 0.250 0.500
Tl1 0.204 0.625 0.079
Tl2 0.375 0.454 0.579
Tl3 0.546 0.125 0.921
Tl4 0.875 0.796 0.421
As1 0.250 0.750 0.500
As2 0.500 0.500 0.000

## Properties
Magnetic moment: 0.00 μB per formula unit
Calculated volume: 313.95 Å³/cell
Density of states at the Fermi level: 0.47 states/eV/cell

=====

Version 3
## CsTl2As (PBE)

Data for a relaxed structure of CsTl2As.

a b c (Å): 3.945 3.945 8.639
angles (deg): 90.00 90.00 90.00
Sites, in units of the cell vectors:
Cs1 0.000 0.000 0.000
Tl1 0.500 0.500 0.317
Tl2 0.500 0.500 0.683
As1 0.000 0.000 0.500

## Properties
Magnetic moment: 0.00 μB per formula unit
Calculated volume: 134.48 Å³/cell
Density of states at the Fermi level: 1.06 states/eV/cell

=====

Version 4
## CsTl2As (PBE)

Data for a relaxed structure of CsTl2As.

a b c (Å): 7.237 9.939 9.368
angles (deg): 90.00 119.09 90.00
Sites, in units of the cell vectors:
Cs1 0.191 0.032 0.233
Cs2 0.191 0.468 0.733
Cs3 0.809 0.532 0.267
Cs4 0.809 0.968 0.767
Tl1 0.233 0.106 0.644
Tl2 0.233 0.394 0.144
Tl3 0.456 0.677 0.446
Tl4 0.456 0.823 0.946
Tl5 0.544 0.177 0.054
Tl6 0.544 0.323 0.554
Tl7 0.767 0.606 0.856
Tl8 0.767 0.894 0.356
As1 0.215 0.688 0.082
As2 0.215 0.812 0.582
As3 0.785 0.188 0.418
As4 0.785 0.312 0.918

## Properties
Magnetic moment: 0.00 μB per formula unit
Calculated volume: 588.80 Å³/cell
Density of states at the Fermi level: 3.71 states/eV/cell

=====

Energy ordering: version 4 at the bottom, the next structure 73 meV/atom above.